{
  "formula": "PrPuMg2",
  "functional": "GGA-PBE",
  "state": "optimized geometry",
  "e_form_ev_per_atom": 0.106,
  "e_tot_ev_per_atom": -5.4694,
  "vol_a3_per_atom": 28.865,
  "relative_energy_mev_per_atom": 27,
  "lattice": [[5.466, 0.000, 0.000], [2.733, 4.733, 0.000], [2.733, 1.578, 4.463]],
  "species": ["Mg", "Mg", "Pr", "Pu"],
  "frac_coords": [[0.750, 0.750, 0.750], [0.250, 0.250, 0.250], [0.500, 0.500, 0.500], [0.000, 0.000, 0.000]]
}